1.
Computed, not measured: a geometry-optimized PrNd2Ho4Er structure at the PBE-GGA level of DFT.

Unit cell a=9.5292 b=9.5294 c=11.8713 alpha=128.53 beta=128.53 gamma=88.21
With the nearest neighbours (Å) after each atom.
Atoms (fractional coordinates):
Nd: 0.5000 0.0000 0.5001  6 Ho 3.32-3.42, 2 Pr 3.40
Nd: 0.5001 0.4999 0.0000  6 Ho 3.39-3.47, 2 Nd 3.40
Nd: 0.0001 0.9999 0.5000  6 Ho 3.39-3.47, 2 Nd 3.40
Nd: 0.5000 0.0000 0.9999  6 Ho 3.32-3.42, 2 Pr 3.40
Ho: 0.7501 0.7502 0.5052  3 Nd 3.32-3.47, 1 Pr 3.32, 2 Er 3.37, 2 Ho 3.40
Ho: 0.2502 0.2501 0.0052  3 Nd 3.32-3.47, 1 Pr 3.32, 2 Er 3.37, 2 Ho 3.40
Ho: 0.7442 0.2556 0.4998  1 Er 3.24, 3 Nd 3.39-3.42, 2 Ho 3.40-3.41, 2 Pr 3.42
Ho: 0.7555 0.2442 0.9998  1 Er 3.24, 3 Nd 3.39-3.42, 2 Ho 3.40-3.41, 2 Pr 3.42
Ho: 0.7498 0.7500 0.9948  3 Nd 3.32-3.47, 1 Pr 3.32, 2 Er 3.37, 2 Ho 3.40
Ho: 0.2558 0.7445 0.5002  1 Er 3.24, 3 Nd 3.39-3.42, 2 Ho 3.40-3.41, 2 Pr 3.42
Ho: 0.2499 0.2498 0.4948  3 Nd 3.32-3.47, 1 Pr 3.32, 2 Er 3.37, 2 Ho 3.40
Ho: 0.2444 0.7558 0.0002  1 Er 3.24, 3 Nd 3.39-3.42, 2 Ho 3.40-3.41, 2 Pr 3.42
Er: 0.0000 0.0001 0.0000  6 Ho 3.24-3.37, 2 Er 3.40
Er: 0.4999 0.5000 0.5000  6 Ho 3.24-3.37, 2 Er 3.40
Pr: 0.0000 0.5000 0.0001  6 Ho 3.32-3.42, 2 Nd 3.40
Pr: 0.0000 0.5000 0.4999  6 Ho 3.32-3.42, 2 Nd 3.40

Results
- Energy of formation from the pure elements: 413 meV/atom

2.
Computed, not measured: a geometry-optimized YIr3 structure at the PBE-GGA level of DFT.

Unit cell a=4.6145 b=4.6145 c=4.6145 alpha=90.00 beta=120.00 gamma=60.00
With the nearest neighbours (Å) after each atom.
Atoms (fractional coordinates):
Ir: 0.0000 0.5000 0.5000  4 Ir 2.83, 4 Y 2.83
Ir: 0.5000 0.2500 0.2500  8 Ir 2.83
Ir: 0.0000 0.0000 0.0000  4 Y 2.83, 4 Ir 2.83
Y: 0.5000 0.7500 0.7500  8 Ir 2.83

Results
- Energy of formation from the pure elements: 80 meV/atom

3.
Computed, not measured: a geometry-optimized MnBeSe2 structure at the PBE-GGA level of DFT.

Unit cell a=6.5176 b=7.2743 c=3.5198 alpha=75.92 beta=90.00 gamma=99.90
With the nearest neighbours (Å) after each atom.
Atoms (fractional coordinates):
Be: 0.6668 0.1360 0.5059  3 Se 2.24-2.27
Be: 0.9666 0.2033 0.9721  3 Se 2.24-2.27
Se: 0.4588 0.4213 0.8623  3 Mn 2.38
Se: 0.7013 0.9467 0.1010  3 Be 2.24-2.27, 1 Mn 2.44
Se: 0.1735 0.9178 0.6152  3 Mn 2.38
Se: 0.9314 0.3926 0.3769  3 Be 2.24-2.27, 1 Mn 2.44
Mn: 0.3804 0.0793 0.0341  4 Se 2.38-2.44, 2 Mn 2.41, 2 Be 2.54-2.55
Mn: 0.2521 0.2598 0.4435  4 Se 2.38-2.44, 2 Mn 2.41, 2 Be 2.54

Results
- Total energy: -5.3160 eV/atom